Mg3SnCl, relaxed, DFT PBE-GGA; calculated total energy = -10.857 eV/cell; symmetry = Pm-3m, No. 221; density = 3.05 Mg/m³; relative energy among the computed polymorphs = 0.12 eV per formula unit
1.0
4.9835 0.0000 0.0000
0.0000 4.9835 0.0000
0.0000 0.0000 4.9835
Mg Sn Cl
3 1 1
Direct
0.0000 0.0000 0.5000
0.0000 0.5000 0.0000
0.5000 0.0000 0.0000
0.5000 0.5000 0.5000
0.0000 0.0000 0.0000